The following is a GGA-PBE calculation of a geometry-optimized VBiCl3 structure, from Alexandria via LeMat-Bulk.

Results
The calculated volume is 118.25 Å³ per cell. For the size of the total moment, the calculation gives 3.0 μB per formula unit. The excess energy over the best structure of this formula in the dataset comes out at 0.0000 eV/atom.

Geometry as POSCAR:
```
VBiCl3
1.0
-1.138 2.250 4.211
-3.169 -3.594 1.064
3.571 -2.472 2.286
Bi Cl V
1 3 1
Direct
0.500 0.500 0.500
0.000 0.000 0.500
0.500 0.000 0.000
0.000 0.500 0.000
0.000 0.000 0.000
```